Ba2YTlNi2O7: optimized geometry, GGA+U.

Cell lengths 3.922, 3.922, 12.493 Å; angles 90.00, 90.00, 90.00 degrees
Each line ends with the local moment (μB).
Sites, in units of the cell vectors:
O1 0.500 0.000 0.615  0.00
O2 0.000 0.500 0.385  0.00
O3 0.500 0.500 0.816  -0.06
O4 0.500 0.500 0.184  -0.06
O5 0.000 0.000 0.000  0.06
O6 0.500 0.000 0.385  0.00
O7 0.000 0.500 0.615  0.00
Y1 0.000 0.000 0.500  0.01
Ni1 0.500 0.500 0.647  1.65
Ni2 0.500 0.500 0.353  1.65
Ba1 0.000 0.000 0.789  0.00
Ba2 0.000 0.000 0.211  0.00
Tl1 0.500 0.500 0.000  -0.05

Values from the calculation:
Calculated volume: 14.78 Å³ per atom
Calculated total energy: -76.89 eV/cell
Spin magnetization: 0.2488 μB per atom